Material: CaPuIrPd
Method: DFT, GGA-PBE
State: relaxed

Cell: 4.8967 4.8967 4.8967 Å, 60.00 60.00 60.00°
With the nearest neighbours (Å) after each atom.
Atoms (fractional coordinates):
Ca: 0.0000 0.0000 0.0000  4 Pd 3.00, 4 Ir 3.00
Pu: 0.5000 0.5000 0.5000  4 Ir 3.00, 4 Pd 3.00
Ir: 0.7500 0.7500 0.7500  4 Ca 3.00, 4 Pu 3.00
Pd: 0.2500 0.2500 0.2500  4 Pu 3.00, 4 Ca 3.00

Density of states at the Fermi level   9.39 states/eV/cell
Calculated density   11.655 Mg/m³
Energy of formation from the pure elements   -0.430 eV per atom